Material: NbZnSb
Method: DFT, PBE-GGA
State: relaxed

Cell: 4.4631 4.4631 3.4500 Å, 90.00 90.00 120.00°
Space group P3m1 (No. 156)
Unique sites:
Nb1 0.0000 0.0000 0.0000 x1
Zn1 0.3333 0.6667 0.0796 x1
Sb1 0.6667 0.3333 0.5183 x1



Material: Nb2ZnSb2
Method: DFT, PBE-GGA
State: relaxed

## Properties
ΔE to the lowest computed polymorph, eV/atom: 0.259

Cell: 7.693 7.693 3.507 Å, 90.00 90.00 90.00°
Space group P4/mbm (No. 127)
Unique sites:
Nb1 0.144 0.356 0.000 x4
Zn1 0.000 0.000 0.500 x2
Sb1 0.151 0.651 0.500 x4



Material: Zr3NbSb
Method: DFT, PBE-GGA
State: relaxed

## Properties
ΔE to the lowest computed polymorph, eV/atom: 0.989

Cell: 5.090 5.090 5.090 Å, 90.00 90.00 90.00°
Space group Pm-3m (No. 221)
Unique sites:
Zr1 0.000 0.000 0.500 x3
Nb1 0.000 0.000 0.000 x1
Sb1 0.500 0.500 0.500 x1



Material: Zr3NbSb
Method: DFT, PBE-GGA
State: relaxed

## Properties
ΔE to the lowest computed polymorph, eV/atom: 0.000

Cell: 16.458 3.659 7.410 Å, 90.00 103.08 90.00°
Space group C2/m (No. 12)
Unique sites:
Zr1 0.098 0.000 0.041 x4
Zr2 0.098 0.000 0.557 x4
Zr3 0.204 0.500 0.338 x4
Nb1 0.200 0.500 0.864 x4
Sb1 0.003 0.500 0.252 x4



E_tot (computed, eV/atom): -4.83 -5.77 -7.29 -8.28
Uncorrected formation energy (computed, eV/atom): 0.33 0.16 0.68 -0.31
Calculated density (computed, g/cm3): 7.8 7.9 6.1 7.5